A relaxed structure of Li2CoSi. Source: the Alexandria database, functional GGA-PBEsol.

Geometry as POSCAR:
```
Li2CoSi
1.0
2.673 0.000 0.000
0.000 3.851 0.000
-1.336 -1.925 4.339
Si Co Li
1 1 2
direct
0.500 0.000 0.000
0.000 0.500 0.000
0.744 0.744 0.488
0.256 0.256 0.512
```

The calculation puts the mass density at 3.752 g/cm³. For the density of states at the Fermi level, the calculation gives 1.76 states/eV/f.u. The calculation puts the final energy at -18.4 eV/cell. The calculated volume comes out at 44.66 Å³/f.u. The calculation puts the formation energy (no corrections) at -235.5 meV per atom.

***

A relaxed structure of Nb3Zn3N. Source: the Alexandria database, functional GGA-PBEsol.

Geometry as POSCAR:
```
Nb3Zn3N
1.0
-5.030 4.186 -4.927
-5.934 -3.910 -4.074
-7.835 1.099 2.122
Nb Zn N
12 12 4
direct
0.567 0.567 0.933
0.933 0.567 0.933
0.933 0.567 0.567
0.933 0.933 0.567
0.567 0.933 0.567
0.567 0.933 0.933
0.683 0.683 0.317
0.317 0.683 0.317
0.317 0.683 0.683
0.317 0.317 0.683
0.683 0.317 0.683
0.683 0.317 0.317
0.332 0.003 0.332
0.332 0.332 0.003
0.332 0.332 0.332
0.003 0.332 0.332
0.918 0.247 0.918
0.918 0.918 0.247
0.918 0.918 0.918
0.247 0.918 0.918
0.125 0.625 0.125
0.125 0.125 0.625
0.125 0.125 0.125
0.625 0.125 0.125
0.625 0.125 0.625
0.625 0.625 0.125
0.625 0.625 0.625
0.125 0.625 0.625
```

The calculation puts the mass density at 8.356 g/cm³. For the density of states at the Fermi level, the calculation gives 3.73 states/eV/f.u. The calculation puts the final energy at -199.4 eV/cell. The calculated volume comes out at 97.16 Å³/f.u. The calculation puts the formation energy (no corrections) at -586.1 meV per atom.

***

A relaxed structure of FeSb3P4O16. Source: the Alexandria database, functional GGA-PBEsol.

Geometry as POSCAR:
```
FeSb3P4O16
1.0
4.911 0.000 -0.211
0.000 6.575 0.000
-0.953 0.000 9.847
Fe Sb P O
1 3 4 16
direct
0.147 0.500 0.719
0.845 0.000 0.302
0.712 0.000 0.822
0.260 0.500 0.162
0.847 0.500 0.397
0.748 0.500 0.897
0.242 0.000 0.086
0.167 0.000 0.618
0.923 0.500 0.553
0.679 0.311 0.345
0.679 0.689 0.345
0.858 0.000 0.640
0.554 0.000 0.092
0.870 0.321 0.821
0.870 0.679 0.821
0.853 0.500 0.051
0.116 0.000 0.937
0.135 0.820 0.170
0.135 0.180 0.170
0.433 0.500 0.878
0.131 0.500 0.343
0.311 0.806 0.684
0.311 0.194 0.684
0.176 0.000 0.463
```

The calculation puts the mass density at 4.200 g/cm³. For the density of states at the Fermi level, the calculation gives 0.25 states/eV/f.u. The calculation puts the final energy at -173.5 eV/cell. The calculated volume comes out at 316.66 Å³/f.u. The calculation puts the formation energy (no corrections) at -1822.4 meV per atom.

***

> The lowest calculated volume belongs to which entry?

Li2CoSi